This record from Alexandria via LeMat-Bulk describes a geometry-optimized CeNdTlBi structure. The functional is PBE.

Unit cell a=5.562 b=5.562 c=5.562 alpha=60.00 beta=60.00 gamma=60.00
Element x y z (fractional)
Ce (0.750, 0.750, 0.750)
Tl (0.500, 0.500, 0.500)
Nd (0.250, 0.250, 0.250)
Bi (0.000, 0.000, 0.000)

## Properties
Uncorrected energy, eV per atom: -4.67
N(E_F), states/eV/atom: 2.41
Total magnetic moment, μB/cell: 1.859
SG: F-43m (216)